Record 1
Here is TbYI after structural relaxation from the Alexandria database. Energies are from PBE.

Lattice parameters (Å, degrees): 3.8468 3.8468 7.5481 90.00 90.00 120.00
Last column: nearest neighbours and their distance in Å.
Atoms (fractional coordinates):
Y 0.3333 0.6667 0.6580  3 I 3.30, 3 Tb 3.45
Tb 0.0000 0.0000 0.0076  3 I 3.32, 3 Y 3.45
I 0.6667 0.3333 0.3344  3 Y 3.30, 3 Tb 3.32

The calculation puts the formation energy without anion corrections at -0.53 eV/atom. The symmetry is No. 156.



Record 2
Here is Sc2SiIr after structural relaxation from the Alexandria database. Energies are from PBE.

Lattice parameters (Å, degrees): 5.0255 5.1976 7.4946 73.02 70.41 61.09
Last column: nearest neighbours and their distance in Å.
Atoms (fractional coordinates):
Sc 0.8057 0.2839 0.0955  3 Ir 2.72-2.86, 3 Si 2.78-2.85
Sc 0.8149 0.7839 0.5955  3 Ir 2.72-2.86, 3 Si 2.78-2.85
Sc 0.1943 0.7161 0.9045  3 Ir 2.72-2.86, 3 Si 2.78-2.85
Sc 0.1851 0.2161 0.4045  3 Ir 2.72-2.86, 3 Si 2.78-2.85
Ir 0.7681 0.2500 0.7500  2 Si 2.47-2.56, 2 Sc 2.72
Ir 0.2319 0.7500 0.2500  2 Si 2.47-2.56, 2 Sc 2.72
Si 0.2767 0.2500 0.7500  2 Ir 2.47-2.56
Si 0.7233 0.7500 0.2500  2 Ir 2.47-2.56

The calculation puts the formation energy without anion corrections at -0.62 eV/atom. The symmetry is No. 15.



Record 3
Here is Pu3ZrTl3S8 after structural relaxation from the Alexandria database. Energies are from PBE.

Lattice parameters (Å, degrees): 8.0047 8.0140 8.8234 116.91 90.00 119.96
Last column: nearest neighbours and their distance in Å.
Atoms (fractional coordinates):
Pu 0.0000 0.5000 0.5000  6 S 2.74-2.79
Pu 0.5000 0.5000 0.5000  6 S 2.74-2.79
Pu 0.5000 0.0000 0.5000  6 S 2.77-2.78
S 0.7487 0.9704 0.6914  1 Zr 2.62, 2 Pu 2.78-2.79
S 0.2217 0.9704 0.6914  1 Zr 2.62, 2 Pu 2.78-2.79
S 0.7783 0.0296 0.3086  1 Zr 2.62, 2 Pu 2.78-2.79
S 0.2665 0.5330 0.3025  3 Pu 2.74-2.77
S 0.2513 0.0296 0.3086  1 Zr 2.62, 2 Pu 2.78-2.79
S 0.7335 0.4670 0.6975  3 Pu 2.74-2.77
S 0.2216 0.4432 0.6896  1 Zr 2.62, 2 Pu 2.77
S 0.7784 0.5568 0.3104  1 Zr 2.62, 2 Pu 2.77
Tl 0.0000 0.5000 0.0000  6 S 3.24-3.25
Tl 0.5000 0.5000 0.0000  6 S 3.24-3.25
Tl 0.0000 0.0000 0.0000  6 S 3.23-3.24
Zr 0.0000 0.0000 0.5000  6 S 2.62

The calculation puts the formation energy without anion corrections at -1.26 eV/atom. The symmetry is No. 12.



Record 4
Here is MgNbIrRu after structural relaxation from the Alexandria database. Energies are from PBE.

Lattice parameters (Å, degrees): 4.4493 4.4493 4.4493 60.00 60.00 60.00
Last column: nearest neighbours and their distance in Å.
Atoms (fractional coordinates):
Ir 0.7500 0.7500 0.7500  4 Nb 2.72, 4 Mg 2.72
Mg 0.0000 0.0000 0.0000  4 Ir 2.72, 4 Ru 2.72
Nb 0.5000 0.5000 0.5000  4 Ru 2.72, 4 Ir 2.72
Ru 0.2500 0.2500 0.2500  4 Mg 2.72, 4 Nb 2.72

The symmetry is No. 216. The calculation puts the energy of formation from the pure elements at -44.5 kJ/mol of atoms.



Record 5
Here is Nb3HW after structural relaxation from the Alexandria database. Energies are from PBE.

Lattice parameters (Å, degrees): 4.2113 4.2113 4.2113 90.00 90.00 90.00
Last column: nearest neighbours and their distance in Å.
Atoms (fractional coordinates):
W 0.5000 0.5000 0.5000  12 Nb 2.98
Nb 0.0000 0.0000 0.5000  2 H 2.11
Nb 0.0000 0.5000 0.0000  2 H 2.11
Nb 0.5000 0.0000 0.0000  2 H 2.11
H 0.0000 0.0000 0.0000  6 Nb 2.11

The energy above the lowest structure with this stoichiometry is 0 meV/atom. The symmetry is No. 221.



Record 6
Here is Pa2FeTc after structural relaxation from the Alexandria database. Energies are from PBE.

Lattice parameters (Å, degrees): 3.8239 3.8239 6.6100 73.19 73.19 60.00
Last column: nearest neighbours and their distance in Å.
Atoms (fractional coordinates):
Tc 0.5000 0.5000 0.5000  6 Pa 2.75
Pa 0.7458 0.7458 0.7625  3 Fe 2.66, 3 Tc 2.75
Pa 0.2542 0.2542 0.2375  3 Fe 2.66, 3 Tc 2.75
Fe 0.0000 0.0000 0.0000  6 Pa 2.66

The energy above the lowest structure with this stoichiometry is 9 meV/atom. The symmetry is No. 166. The calculation puts the energy of formation from the pure elements at -6.9 kJ/mol of atoms.



Record 7
Here is MnCd after structural relaxation from the Alexandria database. Energies are from PBE.

Lattice parameters (Å, degrees): 2.9477 2.9477 9.6972 81.26 98.74 120.00
Last column: nearest neighbours and their distance in Å.
Atoms (fractional coordinates):
Mn 0.4942 0.5058 0.4825  9 Mn 2.67-2.95, 3 Cd 2.93
Mn 0.7558 0.2442 0.2675  9 Mn 2.67-2.95, 3 Cd 2.93
Cd 0.2441 0.7559 0.7324  3 Mn 2.93, 9 Cd 2.95-3.21
Cd 0.0059 0.9941 0.0176  3 Mn 2.93, 9 Cd 2.95-3.21

The symmetry is No. 166. The calculation puts the energy of formation from the pure elements at 31.9 kJ/mol of atoms.



Record 8
Here is Sc3Hg2 after structural relaxation from the Alexandria database. Energies are from PBE.

Lattice parameters (Å, degrees): 4.8456 4.8456 6.0174 90.00 90.00 120.00
Last column: nearest neighbours and their distance in Å.
Atoms (fractional coordinates):
Sc 0.6667 0.3333 0.6577  5 Hg 2.90-3.11
Sc 0.0000 0.0000 0.0000  6 Hg 2.99
Sc 0.3333 0.6667 0.3423  5 Hg 2.90-3.11
Hg 0.3333 0.6667 0.8250  8 Sc 2.90-3.11
Hg 0.6667 0.3333 0.1750  8 Sc 2.90-3.11

The symmetry is No. 164. The calculation puts the energy of formation from the pure elements at -17.8 kJ/mol of atoms.



Record 9
Here is SiHgMo after structural relaxation from the Alexandria database. Energies are from PBE.

Lattice parameters (Å, degrees): 9.8585 4.6985 4.6986 90.00 90.00 90.00
Last column: nearest neighbours and their distance in Å.
Atoms (fractional coordinates):
Mo 0.5932 0.7500 0.0615  5 Si 2.50-2.71
Mo 0.5932 0.2500 0.5615  5 Si 2.50-2.71
Mo 0.4068 0.2500 0.0615  5 Si 2.50-2.71
Mo 0.4068 0.7500 0.5615  5 Si 2.50-2.71
Hg 0.8953 0.7500 0.0644  1 Mo 2.98, 8 Hg 3.13-3.32, 4 Si 3.15-3.17
Hg 0.8953 0.2500 0.5644  1 Mo 2.98, 8 Hg 3.13-3.32, 4 Si 3.15-3.17
Hg 0.1047 0.2500 0.0644  1 Mo 2.98, 8 Hg 3.13-3.32, 4 Si 3.15-3.17
Hg 0.1047 0.7500 0.5644  1 Mo 2.98, 8 Hg 3.13-3.32, 4 Si 3.15-3.17
Si 0.3187 0.7500 0.0615  5 Mo 2.50-2.71
Si 0.3187 0.2500 0.5615  5 Mo 2.50-2.71
Si 0.6813 0.7500 0.5615  5 Mo 2.50-2.71
Si 0.6813 0.2500 0.0615  5 Mo 2.50-2.71

The calculation puts the formation energy without anion corrections at 0.04 eV/atom. The energy above the lowest structure with this stoichiometry is 17 meV/atom. The symmetry is No. 39.



Record 10
Here is Rb3Pb2Se4 after structural relaxation from the Alexandria database. Energies are from PBE.

Lattice parameters (Å, degrees): 5.2704 7.7661 9.0986 105.17 106.84 90.00
Last column: nearest neighbours and their distance in Å.
Atoms (fractional coordinates):
Se 0.5313 0.7051 0.0627  1 Pb 2.81, 1 Se 3.07
Se 0.4687 0.2949 0.9373  1 Pb 2.81, 1 Se 3.07
Se 0.7841 0.8150 0.5683  3 Pb 2.86-3.00
Se 0.2159 0.1850 0.4317  3 Pb 2.86-3.00
Pb 0.3353 0.9945 0.6707  4 Se 2.81-3.00
Pb 0.6647 0.0055 0.3293  4 Se 2.81-3.00
Rb 0.1288 0.5472 0.2575  7 Se 3.53-3.95
Rb 0.8712 0.4528 0.7425  7 Se 3.53-3.95
Rb 0.0000 0.0000 0.0000  6 Se 3.63-3.64, 4 Pb 3.89

The calculation puts the formation energy without anion corrections at -0.79 eV/atom. The energy above the lowest structure with this stoichiometry is 20 meV/atom. The symmetry is No. 12.



Record 11
Here is Ac2Sn3Pb3 after structural relaxation from the Alexandria database. Energies are from PBE.

Lattice parameters (Å, degrees): 5.0127 4.9942 9.9466 90.00 90.00 90.00
Last column: nearest neighbours and their distance in Å.
Atoms (fractional coordinates):
Sn 0.0000 0.5000 0.0000  8 Pb 3.54-3.55, 4 Ac 3.55
Sn 0.5000 0.0000 0.5000  4 Ac 3.50, 4 Pb 3.50, 4 Sn 3.54
Sn 0.0000 0.5000 0.5000  4 Ac 3.50, 4 Pb 3.51, 4 Sn 3.54
Pb 0.5000 0.5000 0.7470  6 Sn 3.50-3.55, 4 Ac 3.54, 2 Pb 3.55
Pb 0.5000 0.0000 0.0000  4 Sn 3.54, 4 Pb 3.55, 4 Ac 3.56
Pb 0.5000 0.5000 0.2530  6 Sn 3.50-3.55, 4 Ac 3.54, 2 Pb 3.55
Ac 0.0000 0.0000 0.2540  6 Sn 3.50-3.55, 6 Pb 3.54-3.56
Ac 0.0000 0.0000 0.7460  6 Sn 3.50-3.55, 6 Pb 3.54-3.56

The symmetry is No. 47. The calculation puts the energy of formation from the pure elements at -43.7 kJ/mol of atoms.



Record 12
Here is KSc2SnCl after structural relaxation from the Alexandria database. Energies are from PBE.

Lattice parameters (Å, degrees): 4.9600 5.3525 4.9600 90.00 90.00 90.00
Last column: nearest neighbours and their distance in Å.
Atoms (fractional coordinates):
K 0.0000 0.5000 0.0000  2 Cl 2.68
Sn 0.5000 0.5000 0.5000  4 K 3.51, 8 Sc 3.65
Sc 0.5000 0.0000 0.0000  2 Cl 2.48
Sc 0.0000 0.0000 0.5000  2 Cl 2.48
Cl 0.0000 0.0000 0.0000  4 Sc 2.48, 2 K 2.68

The calculation puts the formation energy without anion corrections at -0.31 eV/atom. The symmetry is No. 123.



Here are the calculated DOS(E_F) numbers, same order: 3.97, 2.27, 32.29, 0.44, 4.84, 3.50, 1.37, 6.79, 1.19, 1.02, 3.99, 4.28 (states/eV/f.u.).
Here are the calculated M_tot numbers, same order: 0.2, 0.0, 5.0, 0.0, 0.0, 0.0, 3.5, 0.6, 0.0, 0.0, 0.0, 0.0 (μB/f.u.).